Record 1
## Rb8HgAu2F (PBE)

Data for an optimized crystal structure of Rb8HgAu2F.

Output
Size of the total moment = 0.000 μB/f.u.
Density of states at the Fermi level = 6.09 states/eV/f.u.
Uncorrected formation energy = -537 meV per atom

The structure in POSCAR format:
```
Rb8HgAu2F
1.0
7.917 0.000 0.000
-0.401 8.597 0.000
-1.838 -0.376 8.885
Rb Hg Au F
8 1 2 1
Cartesian
0.522 1.825 3.810
1.087 6.082 2.864
0.335 0.570 8.580
0.630 4.853 6.655
5.048 3.368 2.230
5.342 7.651 0.305
4.591 2.138 6.021
5.156 6.395 5.075
-0.201 4.298 0.000
1.998 8.014 5.711
3.680 0.207 3.174
-1.120 4.110 4.443
```

---

Record 2
## HgAuS2F (PBE)

Data for an optimized crystal structure of HgAuS2F.

Output
Size of the total moment = 1.636 μB/f.u.
Density of states at the Fermi level = 5.72 states/eV/f.u.
Uncorrected formation energy = 812 meV per atom

The structure in POSCAR format:
```
HgAuS2F
1.0
4.945 0.000 0.000
0.000 4.945 0.000
0.000 0.000 5.431
Hg Au S F
1 1 2 1
Cartesian
0.000 0.000 0.000
0.000 0.000 2.716
0.000 2.472 0.000
2.472 0.000 0.000
2.472 2.472 2.716
```

---

Record 3
## Sn2HgAuF (PBE)

Data for an optimized crystal structure of Sn2HgAuF.

Output
Size of the total moment = 0.000 μB/f.u.
Density of states at the Fermi level = 2.10 states/eV/f.u.
Uncorrected formation energy = 40 meV per atom

The structure in POSCAR format:
```
Sn2HgAuF
1.0
5.519 0.000 0.000
0.000 5.519 0.000
0.000 0.000 4.504
Sn Hg Au F
2 1 1 1
Cartesian
0.000 2.760 0.000
2.760 0.000 0.000
0.000 0.000 0.000
2.760 2.760 2.252
0.000 0.000 2.252
```

---

Record 4
## SnHgAuF2 (PBE)

Data for an optimized crystal structure of SnHgAuF2.

Output
Size of the total moment = 0.000 μB/f.u.
Density of states at the Fermi level = 1.20 states/eV/f.u.
Uncorrected formation energy = -1219 meV per atom

The structure in POSCAR format:
```
SnHgAuF2
1.0
4.379 0.000 0.000
0.000 4.379 0.000
0.000 0.000 5.552
Sn Hg Au F
1 1 1 2
Cartesian
0.000 0.000 0.000
2.189 2.189 2.776
0.000 0.000 2.776
0.000 2.189 0.000
2.189 0.000 0.000
```

---

Record 5
## TcHgAu2F (PBE)

Data for an optimized crystal structure of TcHgAu2F.

Output
Size of the total moment = 3.429 μB/f.u.
Density of states at the Fermi level = 5.33 states/eV/f.u.
Uncorrected formation energy = 794 meV per atom

The structure in POSCAR format:
```
TcHgAu2F
1.0
4.484 0.000 0.000
0.000 4.484 0.000
0.000 0.000 4.943
Tc Hg Au F
1 1 2 1
Cartesian
0.000 0.000 0.000
2.242 2.242 0.000
0.000 2.242 2.471
2.242 0.000 2.471
2.242 2.242 2.471
```

---

Record 6
## TlHgAuF2 (PBE)

Data for an optimized crystal structure of TlHgAuF2.

Output
Size of the total moment = 0.000 μB/f.u.
Density of states at the Fermi level = 0.13 states/eV/f.u.
Uncorrected formation energy = -815 meV per atom

The structure in POSCAR format:
```
TlHgAuF2
1.0
4.581 0.000 0.000
0.000 4.581 0.000
0.000 0.000 5.536
Tl Hg Au F
1 1 1 2
Cartesian
0.000 0.000 0.000
2.290 2.290 2.768
2.290 2.290 0.000
0.000 2.290 2.768
2.290 0.000 2.768
```